# PBE+U NaEr2MnO5, relaxed
# Calculated total energy (eV/atom): -7.3582
# M_tot (μB/cell): 7.991
data_NaEr2MnO5
_cell_length_a 6.4039
_cell_length_b 6.4039
_cell_length_c 5.6840
_cell_angle_alpha 90.00
_cell_angle_beta 90.00
_cell_angle_gamma 90.00
_space_group_name_H-M_alt 'P 4/m b m'
_space_group_IT_number 127
_space_group_name_Hall '-P 4 2ab'
loop_
_atom_site_label
_atom_site_fract_x
_atom_site_fract_y
_atom_site_fract_z
Na1 0.0000 0.0000 0.0000
Er1 0.1778 0.3222 0.5000
Mn1 0.0000 0.5000 0.0000
O1 0.0000 0.0000 0.5000
O2 0.1392 0.6392 0.2462